Entry from the Alexandria database: a geometry-optimized Dy2Er6Ga structure (PBE).

Results
* formation energy: 1.99 kJ per mole of atoms
* space-group type: No. 65
* crystal system: orthorhombic
* DFT total energy: -39.42 eV per cell

Cell and atoms, written as POSCAR:
```
Dy2Er6Ga
1.0
3.482 0.000 0.233
0.000 9.125 0.000
-0.576 -4.562 8.504
Dy Er Ga
2 6 1
Direct
0.501 0.321 0.642
0.499 0.679 0.358
0.000 0.011 0.677
0.000 0.989 0.323
0.000 0.334 0.323
0.000 0.666 0.677
0.500 0.715 0.000
0.500 0.285 0.000
0.000 0.000 0.000
```

Entry from the Alexandria database: a geometry-optimized Tb3Y2ErTm6 structure (PBE).

Results
* formation energy: 2.38 kJ per mole of atoms
* space-group type: No. 12
* crystal system: monoclinic
* DFT total energy: -57.91 eV per cell

Cell and atoms, written as POSCAR:
```
Tb3Y2ErTm6
1.0
-5.685 -0.258 2.193
1.490 -3.192 -4.979
4.346 -7.770 7.527
Tb Er Tm Y
3 1 6 2
Direct
0.167 0.833 0.500
0.500 0.500 0.500
0.833 0.167 0.500
0.000 0.000 0.000
0.917 0.584 0.750
0.416 0.083 0.250
0.584 0.917 0.750
0.083 0.416 0.250
0.750 0.750 0.250
0.250 0.250 0.750
0.667 0.333 0.000
0.333 0.667 0.000
```

Entry from the Alexandria database: a geometry-optimized SrCu2Ir structure (PBE).

Results
* formation energy: 33.82 kJ per mole of atoms
* space-group type: No. 65
* crystal system: orthorhombic
* DFT total energy: -17.33 eV per cell

Cell and atoms, written as POSCAR:
```
SrCu2Ir
1.0
4.322 0.020 -0.026
-0.039 4.943 -2.807
0.029 -0.708 4.509
Sr Cu Ir
1 2 1
Direct
0.500 0.500 0.000
0.000 0.169 0.339
0.000 0.831 0.661
0.500 0.000 0.000
```

Entry from the Alexandria database: a geometry-optimized CsAlZnF6 structure (PBE).

Results
* space-group type: No. 74
* crystal system: orthorhombic
* DFT total energy: -89.09 eV per cell

Cell and atoms, written as POSCAR:
```
CsAlZnF6
1.0
7.348 0.000 0.000
0.000 7.192 0.000
-3.674 -3.596 5.159
Al F Cs Zn
2 12 2 2
Direct
0.500 0.000 0.000
0.500 0.500 0.000
0.203 0.341 0.758
0.169 0.919 0.338
0.544 0.294 0.088
0.555 0.917 0.758
0.797 0.659 0.242
0.445 0.083 0.242
0.797 0.083 0.242
0.203 0.917 0.758
0.445 0.659 0.242
0.831 0.081 0.662
0.555 0.341 0.758
0.456 0.706 0.912
0.130 0.380 0.259
0.870 0.620 0.741
0.500 0.000 0.500
0.000 0.000 0.500
```